Record 1
Mn3Tc (PBE, optimized geometry); SG = Pmm2, No. 25; DFT formation energy = 0.103 eV per atom; Fermi-level density of states = 1.39 states/eV/atom
1.0
-0.6907 -2.0791 1.3918
3.9149 -0.4563 1.2613
-0.8254 2.6251 3.5119
Mn Tc
3 1
direct
0.0000 0.0000 0.9861
0.5000 0.5000 0.8377
0.5000 0.0000 0.5072
0.0000 0.5000 0.3356

---

Record 2
SmErI3 (PBE, optimized geometry); SG = C2/m, No. 12; E_form (uncorrected) = -25.186 kcal/mol of atoms; Fermi-level density of states = 0.13 states/eV/atom
1.0
-3.2739 -0.3140 2.4117
4.0089 2.1072 9.1647
-1.9925 10.2935 2.0836
Er Sm I
2 2 6
direct
0.5653 0.8314 0.0380
0.4347 0.1686 0.9620
0.8679 0.9885 0.2757
0.1321 0.0115 0.7243
0.2101 0.6974 0.8824
0.9659 0.3204 0.7478
0.6665 0.1724 0.4946
0.0341 0.6796 0.2522
0.3335 0.8276 0.5054
0.7899 0.3026 0.1176

---

Record 3
CsRb2AuBr6 (PBE, optimized geometry); SG = Fm-3m, No. 225; E_form (uncorrected) = -22.509 kcal/mol of atoms; Fermi-level density of states = 0.46 states/eV/atom
1.0
0.0000 6.0070 6.0070
6.0070 0.0000 6.0070
6.0070 6.0070 0.0000
Br Rb Au Cs
6 2 1 1
direct
0.2217 0.7783 0.2217
0.2217 0.7783 0.7783
0.2217 0.2217 0.7783
0.7783 0.7783 0.2217
0.7783 0.2217 0.2217
0.7783 0.2217 0.7783
0.2500 0.2500 0.2500
0.7500 0.7500 0.7500
0.0000 0.0000 0.0000
0.5000 0.5000 0.5000

---

Record 4
HfGa2Ge (PBE, optimized geometry); SG = I-42d, No. 122; DFT formation energy = -0.047 eV per atom; Fermi-level density of states = 0.62 states/eV/atom
1.0
7.4770 0.0000 0.0000
0.0000 7.4770 0.0000
3.7385 3.7385 2.7349
Hf Ga Ge
2 4 2
direct
0.7500 0.2500 0.5000
0.0000 0.0000 0.0000
0.1492 0.6250 0.2500
0.8750 0.8508 0.7500
0.6008 0.1250 0.2500
0.3750 0.3992 0.7500
0.5000 0.5000 0.0000
0.2500 0.7500 0.5000

---

Record 5
Sr2GaPd4 (PBE, optimized geometry); SG = I4/mmm, No. 139; DFT formation energy = -0.364 eV per atom; Fermi-level density of states = 0.66 states/eV/atom
1.0
-2.5281 -1.9206 3.5465
3.5374 -3.0664 0.8610
3.6443 2.5191 7.1565
Sr Pd Ga
2 4 1
direct
0.3569 0.3569 0.2861
0.6431 0.6431 0.7139
0.1560 0.1560 0.6880
0.5000 0.0000 0.0000
0.8440 0.8440 0.3120
0.0000 0.5000 0.0000
0.0000 0.0000 0.0000

---

Record 6
DyZn4Cd8 (PBE, optimized geometry); SG = I4/mmm, No. 139; DFT formation energy = -0.093 eV per atom; Fermi-level density of states = 0.18 states/eV/atom
1.0
5.2782 0.0000 2.1216
2.6391 6.7837 1.0608
0.1091 0.0000 7.3550
Cd Zn Dy
8 4 1
direct
0.3441 0.6559 0.6559
0.5000 0.7835 0.2165
0.7165 0.7835 0.7835
0.0000 0.6559 0.3441
0.2835 0.2165 0.2165
0.5000 0.2165 0.7835
0.6559 0.3441 0.3441
0.0000 0.3441 0.6559
0.5000 0.5000 0.0000
0.0000 0.0000 0.5000
0.0000 0.5000 0.0000
0.5000 0.0000 0.5000
0.0000 0.0000 0.0000

---

Record 7
LiNbSi2 (PBE, optimized geometry); SG = P2/c, No. 13; E_form (uncorrected) = -6.603 kcal/mol of atoms; Fermi-level density of states = 0.51 states/eV/atom
1.0
5.0633 0.0000 -1.2468
0.0000 5.1519 0.0000
-0.3008 0.0000 9.7747
Nb Si Li
4 8 4
direct
0.5472 0.8793 0.3599
0.4528 0.1207 0.6401
0.9528 0.8793 0.1401
0.0472 0.1207 0.8599
0.0975 0.6197 0.9231
0.5975 0.3803 0.4231
0.4025 0.6197 0.5769
0.5765 0.1273 0.9161
0.9025 0.3803 0.0769
0.4235 0.8727 0.0839
0.9235 0.1273 0.5839
0.0765 0.8727 0.4161
0.0639 0.3716 0.3530
0.4361 0.3716 0.1470
0.9361 0.6284 0.6470
0.5639 0.6284 0.8530

---

Record 8
Tl2CdH2 (PBE, optimized geometry); SG = C2/m, No. 12; uncorrected energy = -2.419 eV/atom; Fermi-level density of states = 0.26 states/eV/atom
1.0
5.0887 0.0000 1.7483
2.5647 1.8387 0.8149
-1.6790 -1.3854 13.1672
H Cd Tl
2 1 2
direct
0.5256 0.4779 0.4710
0.4744 0.5221 0.5290
0.0000 0.0000 0.0000
0.7110 0.7902 0.7878
0.2890 0.2098 0.2122

---

Record 9
Tb8TlAg2 (PBE, optimized geometry); SG = C2/m, No. 12; DFT formation energy = -0.152 eV per atom; Fermi-level density of states = 1.05 states/eV/atom
1.0
-2.0288 2.4108 -4.2107
-7.7018 -0.9358 3.1751
5.2758 5.4980 3.8901
Tb Ag Tl
8 2 1
direct
0.1460 0.2030 0.2919
0.5991 0.4599 0.1982
0.4009 0.5401 0.8018
0.9334 0.2762 0.8669
0.0666 0.7238 0.1331
0.3148 0.0381 0.6297
0.6852 0.9619 0.3703
0.8540 0.7970 0.7081
0.2196 0.6186 0.4393
0.7804 0.3814 0.5607
0.5000 0.0000 0.0000

---

Record 10
GdHoErHg (PBE, optimized geometry); SG = F-43m, No. 216; DFT formation energy = -0.064 eV per atom; Fermi-level density of states = 1.28 states/eV/atom
1.0
-0.9270 -5.2777 0.6454
1.0574 -3.4376 -4.0243
4.1411 -3.4376 0.4052
Gd Er Hg Ho
1 1 1 1
direct
0.5000 0.5000 0.5000
0.7500 0.7500 0.7500
0.2500 0.2500 0.2500
0.0000 0.0000 0.0000

---

Record 11
CeMgCuPd (PBE, optimized geometry); SG = F-43m, No. 216; DFT formation energy = -0.375 eV per atom; Fermi-level density of states = 1.56 states/eV/atom
1.0
4.8250 0.0000 0.0000
2.4125 4.1786 0.0000
2.4125 1.3929 3.9396
Cu Pd Ce Mg
1 1 1 1
direct
0.5000 0.5000 0.5000
0.0000 0.0000 0.0000
0.7500 0.7500 0.7500
0.2500 0.2500 0.2500

---

Record 12
LuInHg2 (PBE, optimized geometry); SG = P4/mmm, No. 123; DFT formation energy = -0.278 eV per atom; Fermi-level density of states = 0.70 states/eV/atom
1.0
-2.2418 3.5325 1.6247
-3.4443 -0.8489 -2.9067
-1.9805 -2.6987 3.1349
Lu Hg In
1 2 1
direct
0.5000 0.5000 0.5000
0.0000 0.0000 0.5000
0.0000 0.5000 0.0000
0.5000 0.0000 0.0000